VASP calculation (PBE) on a relaxed structure of Tm2Be3CuPt4.

abc: 3.956 3.956 9.971
angles: 90.00 90.00 90.00
Fractional positions:
Pt  0.000  0.000  0.000
Cu  0.500  0.500  0.500
Pt  0.500  0.500  0.000
Tm  0.000  0.500  0.754
Be  0.500  0.000  0.878
Pt  0.000  0.500  0.349
Pt  0.500  0.000  0.651
Tm  0.500  0.000  0.246
Be  0.000  0.000  0.500
Be  0.000  0.500  0.122

Values from the calculation:
magnetization	0.00	μB/f.u.
theoretical density	12.86	g/cm³
final energy	-5.6989	eV/atom
symmetry	P-4m2 (115)